Record 1
A plane-wave DFT calculation with GGA-PBE was carried out for a relaxed K4P crystal.

Results
Final energy in eV for the cell shown: -10.232
N(E_F) in states/eV per cell: 2.47

Cell lengths 6.7703, 6.7703, 6.7703 Å; angles 109.47, 109.47, 109.47 degrees
Fractional coordinates of all 5 atoms:
1 K 0.0000 0.0000 0.5000
2 K 0.0000 0.5000 0.0000
3 K 0.5000 0.0000 0.0000
4 K 0.5000 0.5000 0.5000
5 P 0.0000 0.0000 0.0000

***

Record 2
A plane-wave DFT calculation with GGA-PBE was carried out for a relaxed Ni2SnAu2 crystal.

Results
Final energy in eV for the cell shown: -43.110
N(E_F) in states/eV per cell: 9.02

Cell lengths 7.3992, 7.3992, 3.0441 Å; angles 90.00, 90.00, 90.00 degrees
Fractional coordinates of all 10 atoms:
1 Ni 0.1577 0.3423 0.0000
2 Ni 0.3423 0.8423 0.0000
3 Ni 0.6577 0.1577 0.0000
4 Ni 0.8423 0.6577 0.0000
5 Sn 0.0000 0.0000 0.5000
6 Sn 0.5000 0.5000 0.5000
7 Au 0.1381 0.6381 0.5000
8 Au 0.3619 0.1381 0.5000
9 Au 0.6381 0.8619 0.5000
10 Au 0.8619 0.3619 0.5000

***

Record 3
A plane-wave DFT calculation with GGA-PBE was carried out for a relaxed CaNd4Y3 crystal.

Results
Final energy in eV for the cell shown: -80.314
N(E_F) in states/eV per cell: 19.44

Cell lengths 7.3008, 7.3095, 10.2991 Å; angles 90.00, 90.00, 90.00 degrees
Fractional coordinates of all 16 atoms:
1 Ca 0.0000 0.0000 0.0000
2 Ca 0.5000 0.0000 0.5000
3 Nd 0.0000 0.0000 0.5000
4 Nd 0.0000 0.5000 0.5000
5 Nd 0.2500 0.2554 0.2500
6 Nd 0.2500 0.7446 0.7500
7 Nd 0.5000 0.0000 0.0000
8 Nd 0.5000 0.5000 0.0000
9 Nd 0.7500 0.2554 0.2500
10 Nd 0.7500 0.7446 0.7500
11 Y 0.0000 0.5000 0.0000
12 Y 0.2500 0.2578 0.7500
13 Y 0.2500 0.7422 0.2500
14 Y 0.5000 0.5000 0.5000
15 Y 0.7500 0.2578 0.7500
16 Y 0.7500 0.7422 0.2500

***

Record 4
A plane-wave DFT calculation with GGA-PBE was carried out for a relaxed AcPr2Hg4 crystal.

Results
Final energy in eV for the cell shown: -17.447
N(E_F) in states/eV per cell: 4.41

Cell lengths 6.7965, 6.7965, 5.3672 Å; angles 90.00, 90.00, 113.02 degrees
Fractional coordinates of all 7 atoms:
1 Ac 0.0000 0.0000 0.0000
2 Pr 0.2649 0.7351 0.5000
3 Pr 0.7351 0.2649 0.5000
4 Hg 0.0000 0.5000 0.0000
5 Hg 0.2721 0.2721 0.5000
6 Hg 0.5000 0.0000 0.0000
7 Hg 0.7279 0.7279 0.5000

***

Record 5
A plane-wave DFT calculation with GGA-PBE was carried out for a relaxed ScNiRu2C crystal.

Results
Final energy in eV for the cell shown: -41.333
N(E_F) in states/eV per cell: 4.36

Cell lengths 4.1086, 4.1086, 3.8224 Å; angles 90.00, 90.00, 90.00 degrees
Fractional coordinates of all 5 atoms:
1 Sc 0.0000 0.0000 0.0000
2 Ni 0.5000 0.5000 0.0000
3 Ru 0.0000 0.5000 0.5000
4 Ru 0.5000 0.0000 0.5000
5 C 0.5000 0.5000 0.5000

***

Record 6
A plane-wave DFT calculation with GGA-PBE was carried out for a relaxed YAuC crystal.

Results
Final energy in eV for the cell shown: -40.224
N(E_F) in states/eV per cell: 2.08

Cell lengths 4.0821, 4.0821, 8.6448 Å; angles 92.18, 92.18, 53.65 degrees
Fractional coordinates of all 6 atoms:
1 Y 0.0000 0.0000 0.0000
2 Y 0.7049 0.7049 0.6604
3 Au 0.0263 0.0263 0.4270
4 Au 0.3309 0.3309 0.2319
5 C 0.2728 0.2728 0.8649
6 C 0.4278 0.4278 0.7903

***

Question: What is the final energy in the second record?
Answer: -43.110 eV for the cell shown

***

Question: Look up the final energy of the first one.
Answer: -10.232 eV for the cell shown

***

Question: Which value of final energy does entry 6 give?
Answer: -40.224 eV for the cell shown

***

Question: Which of these has the lowest N(E_F)?
Answer: YAuC